Record 1
InGa3Au2 | PBE | optimized geometry

Properties
* M_tot: 0.00 μB per atom
* energy: -0.1184 hartree per atom
* formation energy from the elements: -0.159 eV per atom
* D(E_F): 0.3886 states/eV per atom

a b c (Å): 3.941 8.526 8.866
angles (deg): 57.62 76.60 76.61
Fractional positions:
Ga 0.956 0.429 0.667
Au 0.227 0.269 0.289
In 0.886 0.107 0.125
Au 0.500 0.812 0.188
Ga 0.686 0.535 0.098
Ga 0.044 0.571 0.333
Ga 0.668 0.129 0.534
In 0.114 0.893 0.875
Ga 0.332 0.871 0.466
Ga 0.314 0.465 0.902
Au 0.500 0.188 0.812
Au 0.773 0.731 0.711

=====

Record 2
InGa4Au | PBE | optimized geometry

Properties
* M_tot: 0.00 μB per atom
* energy: -0.1135 hartree per atom
* formation energy from the elements: -0.067 eV per atom
* D(E_F): 0.3082 states/eV per atom

a b c (Å): 6.572 5.385 7.706
angles (deg): 110.45 106.58 90.00
Fractional positions:
Ga 0.000 0.757 0.000
In 0.329 0.194 0.388
Ga 0.000 0.243 0.000
Ga 0.058 0.719 0.438
Au 0.346 0.613 0.227
Ga 0.313 0.151 0.815
Ga 0.942 0.281 0.562
Ga 0.313 0.664 0.815
In 0.671 0.806 0.612
Ga 0.687 0.336 0.185
Ga 0.687 0.849 0.185
Au 0.654 0.387 0.773

=====

Record 3
InGa2Au2 | PBE | optimized geometry

Properties
* M_tot: 0.00 μB per atom
* energy: -0.1192 hartree per atom
* formation energy from the elements: -0.173 eV per atom
* energy above the lowest structure with this stoichiometry: 75 meV/atom
* D(E_F): 0.3053 states/eV per atom

a b c (Å): 4.491 5.060 9.299
angles (deg): 93.81 90.00 90.00
Fractional positions:
Ga 0.250 0.735 0.989
In 0.750 0.182 0.671
Ga 0.750 0.265 0.011
Au 0.250 0.228 0.861
Au 0.250 0.321 0.463
Ga 0.250 0.723 0.698
In 0.250 0.818 0.329
Au 0.750 0.679 0.537
Ga 0.750 0.277 0.302
Au 0.750 0.772 0.139

=====

Record 4
KInGaAu2 | PBE | optimized geometry

Properties
* M_tot: 0.00 μB per atom
* energy: -0.1087 hartree per atom
* formation energy from the elements: -0.274 eV per atom
* D(E_F): 0.4882 states/eV per atom

a b c (Å): 4.722 4.722 6.610
angles (deg): 110.93 110.93 90.00
Fractional positions:
K 0.000 0.000 0.000
In 0.750 0.250 0.500
Au 0.622 0.622 0.244
Au 0.378 0.378 0.756
Ga 0.250 0.750 0.500

=====

Record 5
KInGa2Au4 | PBE | optimized geometry

Properties
* M_tot: 0.00 μB per atom
* energy: -0.1106 hartree per atom
* formation energy from the elements: -0.135 eV per atom
* D(E_F): 0.4967 states/eV per atom

a b c (Å): 4.799 4.799 10.739
angles (deg): 77.09 77.09 60.00
Fractional positions:
Ga 0.257 0.257 0.230
In 0.500 0.500 0.500
Au 0.173 0.173 0.482
Au 0.827 0.827 0.518
Au 0.406 0.406 0.783
Ga 0.743 0.743 0.770
Au 0.594 0.594 0.217
K 0.000 0.000 0.000

=====

Record 6
KInGaAu | PBE | optimized geometry

Properties
* M_tot: 0.00 μB per atom
* energy: -0.1011 hartree per atom
* formation energy from the elements: -0.216 eV per atom
* D(E_F): 0.5642 states/eV per atom

a b c (Å): 4.635 4.635 6.874
angles (deg): 70.30 70.30 60.00
Fractional positions:
Ga 0.610 0.610 0.169
Au 0.288 0.288 0.136
K 0.815 0.815 0.554
In 0.012 0.012 0.963

=====

Record 7
K3In2Ga2Au4 | PBE | optimized geometry

Properties
* M_tot: 0.00 μB per atom
* energy: -0.1015 hartree per atom
* formation energy from the elements: -0.222 eV per atom
* D(E_F): 0.6150 states/eV per atom

a b c (Å): 4.577 4.577 18.249
angles (deg): 90.00 90.00 120.00
Fractional positions:
Au 0.667 0.333 0.136
Au 0.333 0.667 0.402
K 0.000 0.000 0.000
K 0.000 0.000 0.726
Au 0.333 0.667 0.864
K 0.000 0.000 0.274
Au 0.667 0.333 0.598
In 0.667 0.333 0.439
Ga 0.667 0.333 0.863
In 0.333 0.667 0.561
Ga 0.333 0.667 0.137

=====

Record 8
KInGaAu3 | PBE | optimized geometry

Properties
* M_tot: 0.00 μB per atom
* energy: -0.1109 hartree per atom
* formation energy from the elements: -0.235 eV per atom
* D(E_F): 0.4227 states/eV per atom

a b c (Å): 7.062 7.218 7.692
angles (deg): 117.98 90.00 90.00
Fractional positions:
In 0.750 0.533 0.066
Au 0.500 0.791 0.000
Ga 0.750 0.917 0.834
Au 0.000 0.209 0.000
Au 0.250 0.267 0.534
Au 0.000 0.791 0.000
In 0.250 0.467 0.934
Au 0.500 0.209 0.000
K 0.750 0.226 0.453
Ga 0.250 0.083 0.166
K 0.250 0.774 0.547
Au 0.750 0.733 0.466

=====

Record 9
K2InGaAu2 | PBE | optimized geometry

Properties
* M_tot: 0.00 μB per atom
* energy: -0.1001 hartree per atom
* formation energy from the elements: -0.304 eV per atom
* D(E_F): 0.2221 states/eV per atom

a b c (Å): 6.812 7.273 8.782
angles (deg): 114.46 112.82 90.00
Fractional positions:
Au 0.079 0.808 0.159
In 0.250 0.000 0.000
Au 0.579 0.351 0.159
K 0.820 0.549 0.640
K 0.180 0.451 0.360
Ga 0.250 0.500 0.000
Ga 0.750 0.500 0.000
In 0.750 0.000 0.000
Au 0.921 0.192 0.841
K 0.320 0.091 0.640
K 0.680 0.909 0.360
Au 0.421 0.649 0.841

=====

Record 10
La2InGa4Au3 | PBE | optimized geometry

Properties
* M_tot: 0.00 μB per atom
* energy: -0.1510 hartree per atom
* formation energy from the elements: -0.655 eV per atom
* D(E_F): 0.4021 states/eV per atom

a b c (Å): 4.437 4.437 11.102
angles (deg): 90.00 90.00 90.00
Fractional positions:
La 0.000 0.500 0.756
Ga 0.000 0.500 0.355
Ga 0.000 0.000 0.000
In 0.500 0.500 0.500
La 0.500 0.000 0.244
Au 0.000 0.000 0.500
Ga 0.500 0.000 0.645
Au 0.500 0.000 0.873
Ga 0.500 0.500 0.000
Au 0.000 0.500 0.127

=====

Record 11
La3InGa2Au6 | PBE | optimized geometry

Properties
* M_tot: 0.00 μB per atom
* energy: -0.1521 hartree per atom
* formation energy from the elements: -0.536 eV per atom
* D(E_F): 0.4921 states/eV per atom

a b c (Å): 6.291 6.291 8.630
angles (deg): 90.00 90.00 120.00
Fractional positions:
Au 0.636 0.818 0.271
Au 0.182 0.818 0.271
In 0.000 0.000 0.500
Ga 0.333 0.667 0.017
Au 0.818 0.182 0.729
La 0.333 0.667 0.635
La 0.000 0.000 0.000
Au 0.182 0.364 0.271
Au 0.818 0.636 0.729
Ga 0.667 0.333 0.983
La 0.667 0.333 0.365
Au 0.364 0.182 0.729

=====

Record 12
LaInGa2Au | PBE | optimized geometry

Properties
* M_tot: 0.00 μB per atom
* energy: -0.1466 hartree per atom
* formation energy from the elements: -0.589 eV per atom
* D(E_F): 0.2212 states/eV per atom

a b c (Å): 4.506 4.408 6.515
angles (deg): 109.77 110.23 90.00
Fractional positions:
Au 0.827 0.827 0.654
La 0.454 0.454 0.908
Ga 0.046 0.046 0.093
In 0.192 0.692 0.385
Ga 0.692 0.192 0.384

=====

Record 13
LiIn2Ga2Au5 | PBE | optimized geometry

Properties
* M_tot: 0.00 μB per atom
* energy: -0.1165 hartree per atom
* formation energy from the elements: -0.187 eV per atom
* D(E_F): 0.3363 states/eV per atom

a b c (Å): 3.935 9.977 9.977
angles (deg): 90.00 90.00 90.00
Fractional positions:
Ga 0.000 0.363 0.137
Au 0.500 0.203 0.009
Au 0.500 0.797 0.991
Au 0.500 0.703 0.491
In 0.000 0.826 0.674
Li 0.000 0.500 0.500
In 0.000 0.174 0.326
Ga 0.000 0.137 0.637
Au 0.500 0.491 0.297
Au 0.500 0.009 0.797
Au 0.500 0.500 0.000
Au 0.500 0.509 0.703
Au 0.500 0.297 0.509
Ga 0.000 0.637 0.863
In 0.000 0.326 0.826
Li 0.000 0.000 0.000
In 0.000 0.674 0.174
Au 0.500 0.991 0.203
Ga 0.000 0.863 0.363
Au 0.500 0.000 0.500

=====

Record 14
MnInGa2Au | PBE | optimized geometry

Properties
* M_tot: 0.88 μB per atom
* energy: -0.1257 hartree per atom
* formation energy from the elements: 0.827 eV per atom
* D(E_F): 0.5945 states/eV per atom

a b c (Å): 5.139 5.168 5.139
angles (deg): 90.00 90.00 90.00
Fractional positions:
Ga 0.000 0.000 0.500
Mn 0.000 0.500 0.000
Ga 0.500 0.000 0.000
Au 0.500 0.500 0.500
In 0.000 0.000 0.000

=====

Record 15
NaInGa2Au | PBE | optimized geometry

Properties
* M_tot: 0.00 μB per atom
* energy: -0.1057 hartree per atom
* formation energy from the elements: -0.198 eV per atom
* D(E_F): 0.2822 states/eV per atom

a b c (Å): 4.335 4.364 6.738
angles (deg): 108.89 108.76 90.00
Fractional positions:
Ga 0.697 0.197 0.394
Ga 0.049 0.049 0.098
Na 0.434 0.434 0.868
In 0.192 0.692 0.384
Au 0.840 0.840 0.680

=====

Record 16
NaInGaAu3 | PBE | optimized geometry

Properties
* M_tot: 0.00 μB per atom
* energy: -0.1091 hartree per atom
* formation energy from the elements: -0.148 eV per atom
* D(E_F): 0.2906 states/eV per atom

a b c (Å): 5.724 8.848 7.868
angles (deg): 124.21 90.00 90.00
Fractional positions:
Na 0.250 0.721 0.442
In 0.750 0.559 0.118
Ga 0.250 0.041 0.082
Au 0.000 0.239 0.000
Au 0.000 0.761 0.000
Ga 0.750 0.959 0.918
Na 0.750 0.279 0.558
Au 0.500 0.761 0.000
Au 0.750 0.767 0.534
Au 0.250 0.233 0.466
In 0.250 0.441 0.882
Au 0.500 0.239 0.000

=====

Record 17
Na2InGaAu6 | PBE | optimized geometry

Properties
* M_tot: 0.00 μB per atom
* energy: -0.1029 hartree per atom
* formation energy from the elements: 0.008 eV per atom
* D(E_F): 0.2170 states/eV per atom

a b c (Å): 7.247 7.247 7.247
angles (deg): 60.00 60.00 90.00
Fractional positions:
Na 0.250 0.750 0.500
Au 0.259 0.259 0.482
Au 0.259 0.741 0.000
Au 0.741 0.741 0.000
Au 0.741 0.741 0.518
In 0.000 0.000 0.000
Na 0.750 0.250 0.500
Ga 0.500 0.500 0.000
Au 0.259 0.259 0.000
Au 0.741 0.259 0.000

=====

Record 18
NdInGaAu | PBE | optimized geometry

Properties
* M_tot: 0.00 μB per atom
* energy: -0.1466 hartree per atom
* formation energy from the elements: -0.537 eV per atom
* D(E_F): 0.3496 states/eV per atom

a b c (Å): 5.056 5.056 5.056
angles (deg): 60.00 60.00 60.00
Fractional positions:
Au 0.750 0.750 0.750
In 0.500 0.500 0.500
Ga 0.250 0.250 0.250
Nd 0.000 0.000 0.000

=====

Record 19
Nd2InGa3Au4 | PBE | optimized geometry

Properties
* M_tot: 0.00 μB per atom
* energy: -0.1492 hartree per atom
* formation energy from the elements: -0.614 eV per atom
* D(E_F): 0.5278 states/eV per atom

a b c (Å): 4.470 4.470 10.837
angles (deg): 90.00 90.00 90.00
Fractional positions:
Au 0.000 0.000 0.000
Au 0.000 0.500 0.356
Nd 0.000 0.500 0.762
Au 0.500 0.000 0.644
In 0.500 0.500 0.500
Nd 0.500 0.000 0.238
Ga 0.000 0.500 0.127
Ga 0.500 0.000 0.873
Au 0.500 0.500 0.000
Ga 0.000 0.000 0.500

=====

Record 20
InGaAu2O | PBE | optimized geometry

Properties
* M_tot: 0.00 μB per atom
* energy: -0.1254 hartree per atom
* formation energy without anion corrections: 0.042 eV per atom
* D(E_F): 0.4375 states/eV per atom

a b c (Å): 5.320 3.514 5.320
angles (deg): 90.00 90.00 90.00
Fractional positions:
Au 0.000 0.000 0.500
In 0.500 0.500 0.500
Ga 0.000 0.500 0.000
Au 0.500 0.000 0.000
O 0.000 0.000 0.000

=====

Record 21
InGaPbAu | PBE | optimized geometry

Properties
* M_tot: 0.00 μB per atom
* energy: -0.1157 hartree per atom
* formation energy from the elements: 0.040 eV per atom
* D(E_F): 0.6485 states/eV per atom

a b c (Å): 5.123 5.123 5.123
angles (deg): 60.00 60.00 60.00
Fractional positions:
Au 0.000 0.000 0.000
Pb 0.750 0.750 0.750
Ga 0.500 0.500 0.500
In 0.250 0.250 0.250

=====

Record 22
InGa2Pb2Au7 | PBE | optimized geometry

Properties
* M_tot: 0.00 μB per atom
* energy: -0.1235 hartree per atom
* formation energy from the elements: -0.098 eV per atom
* D(E_F): 0.2868 states/eV per atom

a b c (Å): 4.281 4.281 14.185
angles (deg): 84.59 84.59 85.89
Fractional positions:
Au 0.959 0.460 0.152
Ga 0.571 0.571 0.739
Au 0.664 0.664 0.558
Pb 0.905 0.905 0.361
Au 0.540 0.041 0.848
In 0.000 0.000 0.000
Au 0.460 0.959 0.152
Au 0.041 0.540 0.848
Au 0.336 0.336 0.442
Au 0.500 0.500 0.000
Ga 0.429 0.429 0.261
Pb 0.095 0.095 0.639

=====

Record 23
InGaPbAu2 | PBE | optimized geometry

Properties
* M_tot: 0.00 μB per atom
* energy: -0.1230 hartree per atom
* formation energy from the elements: -0.142 eV per atom
* D(E_F): 0.4164 states/eV per atom

a b c (Å): 4.597 7.560 8.311
angles (deg): 62.27 73.95 72.30
Fractional positions:
Ga 0.950 0.849 0.251
Au 0.415 0.726 0.444
Au 0.585 0.274 0.556
Pb 0.250 0.179 0.321
Ga 0.050 0.151 0.749
Au 0.143 0.752 0.963
Pb 0.750 0.821 0.679
In 0.371 0.429 0.828
Au 0.857 0.248 0.037
In 0.629 0.571 0.172